A relaxed structure of Er5Cd2Co. Source: Alexandria via LeMat-Bulk, functional PBE-GGA.

## Properties
polymorph energy (0 for the lowest one) = 0 meV per atom

Lattice parameters (Å, degrees): 3.880 8.726 12.627 90.00 90.00 90.00
Positions (direct):
Er: 0.000 0.000 0.500
Er: 0.000 0.500 0.000
Er: 0.000 0.842 0.177
Er: 0.000 0.158 0.823
Er: 0.000 0.658 0.677
Er: 0.000 0.342 0.323
Er: 0.500 0.673 0.426
Er: 0.500 0.327 0.574
Er: 0.500 0.827 0.926
Er: 0.500 0.173 0.074
Cd: 0.500 0.548 0.184
Cd: 0.500 0.452 0.816
Cd: 0.500 0.952 0.684
Cd: 0.500 0.048 0.316
Co: 0.000 0.500 0.500
Co: 0.000 0.000 0.000

---

A relaxed structure of Er2CdCo. Source: Alexandria via LeMat-Bulk, functional PBE-GGA.

## Properties
polymorph energy (0 for the lowest one) = 0 meV per atom

Lattice parameters (Å, degrees): 3.392 3.392 7.576 90.00 90.00 90.00
Each line ends with the local moment (μB).
Positions (direct):
Cd: 0.500 0.500 0.500  -0.01
Co: 0.500 0.500 0.000  0.72
Er: 0.000 0.000 0.788  -0.12
Er: 0.000 0.000 0.212  -0.12

---

A relaxed structure of Er4Cd3Co. Source: Alexandria via LeMat-Bulk, functional PBE-GGA.

Lattice parameters (Å, degrees): 3.403 3.403 16.310 90.00 90.00 90.00
Each line ends with the local moment (μB).
Positions (direct):
Cd: 0.500 0.500 0.235  0.00
Cd: 0.500 0.500 0.500  0.01
Cd: 0.500 0.500 0.765  0.00
Co: 0.500 0.500 0.000  0.90
Er: 0.000 0.000 0.901  -0.12
Er: 0.000 0.000 0.099  -0.12
Er: 0.000 0.000 0.366  0.03
Er: 0.000 0.000 0.634  0.03

---

| no. | ΔH_f (0 K) (kcal/mol of atoms) | V (Å³ per atom) |
| --- | --- | --- |
| 1 | -4.11 | 26.7 |
| 2 | -6.54 | 21.8 |
| 3 | -6.60 | 23.6 |